(1)
{
  "formula": "Sc2Ni7Sn2Pt",
  "functional": "PBE-GGA",
  "state": "optimized geometry",
  "e_form_ev_per_fu": -1.969,
  "energy_ev_per_fu": -69.15,
  "dos_ef_per_ev_atom": 1.23,
  "mass_density_kg_m3": 8242,
  "lattice_angstrom": [[2.459, -2.459, 0.000], [2.459, 2.459, 0.000], [-2.429, 0.000, 15.544]],
  "species": ["Sc", "Sc", "Ni", "Ni", "Ni", "Ni", "Ni", "Ni", "Ni", "Sn", "Sn", "Pt"],
  "fractional_positions": [[0.123, 0.123, 0.250], [0.877, 0.877, 0.750], [0.000, 0.000, 0.000], [0.061, 0.561, 0.124], [0.223, 0.223, 0.452], [0.439, 0.939, 0.876], [0.561, 0.061, 0.124], [0.777, 0.777, 0.548], [0.939, 0.439, 0.876], [0.312, 0.312, 0.619], [0.688, 0.688, 0.381], [0.500, 0.500, 0.000]]
}



(2)
{
  "formula": "ScTaNiPt2",
  "functional": "PBE-GGA",
  "state": "optimized geometry",
  "e_form_ev_per_fu": 1.980,
  "energy_ev_per_fu": -34.07,
  "dos_ef_per_ev_atom": 1.07,
  "mass_density_kg_m3": 12186,
  "lattice_angstrom": [[4.678, 0.000, 0.000], [0.000, 4.678, 0.000], [0.000, 0.000, 4.203]],
  "species": ["Sc", "Ta", "Ni", "Pt", "Pt"],
  "fractional_positions": [[0.000, 0.000, 0.000], [0.500, 0.500, 0.000], [0.000, 0.000, 0.500], [0.000, 0.500, 0.500], [0.500, 0.000, 0.500]]
}



(3)
{
  "formula": "ScTcNi2Pt",
  "functional": "PBE-GGA",
  "state": "optimized geometry",
  "e_form_ev_per_fu": 4.323,
  "energy_ev_per_fu": -29.98,
  "dos_ef_per_ev_atom": 1.51,
  "mass_density_kg_m3": 7631,
  "lattice_angstrom": [[4.591, 0.000, 0.000], [0.000, 4.591, 0.000], [0.000, 0.000, 4.703]],
  "species": ["Sc", "Tc", "Ni", "Ni", "Pt"],
  "fractional_positions": [[0.000, 0.000, 0.000], [0.500, 0.500, 0.000], [0.000, 0.500, 0.500], [0.500, 0.000, 0.500], [0.500, 0.500, 0.500]]
}